The following is a DFT calculation (PBE) of a geometry-optimized Y3Mg3Cu2Au structure.

Values from the calculation:
E_tot: -38.0 eV/f.u.

Lattice parameters (Å, degrees): 7.4546 7.4546 4.0881 90.00 90.00 120.00
Space group P-62m (No. 189)
Inequivalent atoms, fractional coordinates:
Y 0.0000 0.5840 0.0000
Mg 0.0000 0.2486 0.5000
Cu 0.3333 0.6667 0.5000
Au 0.0000 0.0000 0.0000